Below is a relaxed Pm3Ga2Ni3 crystal, with properties calculated at the PBE level.

Cell and atoms, written as extended XYZ:
```
16
Lattice="2.1033 -5.4554 0.0000 2.1033 5.4554 0.0000 0.0000 0.0000 13.8774" Properties=species:S:1:pos:R:3 pbc="T T T"
Pm 2.1033 4.5845 8.4379
Pm 2.1033 4.5845 12.3783
Pm 2.1033 1.5033 10.4081
Pm 2.1033 -1.5033 3.4694
Pm 2.1033 -4.5845 1.4991
Pm 2.1033 -4.5845 5.4396
Ga 2.1033 3.1215 1.2078
Ga 2.1033 3.1215 5.7309
Ga 2.1033 -3.1215 8.1465
Ga 2.1033 -3.1215 12.6696
Ni 2.1033 1.9188 3.4694
Ni 2.1033 1.1703 7.4730
Ni 2.1033 1.1703 13.3431
Ni 2.1033 -1.1703 0.5343
Ni 2.1033 -1.1703 6.4044
Ni 2.1033 -1.9188 10.4081
```

## Properties
- Space group: Cmcm (63)
- Energy of formation from the pure elements: -0.496 eV/atom
- Total energy: -5.2021 eV per atom